{
  "formula": "TlReP2",
  "functional": "PBE-GGA",
  "state": "optimized geometry",
  "lattice_angstrom": [[3.140, 0.000, 0.000], [0.000, 3.141, 0.000], [0.000, 0.000, 8.469]],
  "species": ["Tl", "P", "Re", "P"],
  "fractional_positions": [[0.500, 0.500, 0.770], [0.000, 0.000, 0.031], [0.000, 0.000, 0.293], [0.500, 0.500, 0.406]],
  "formation_energy_ev_per_fu": 0.85,
  "magnetic_moment_mub_per_fu": 0.00,
  "e_above_lowest_polymorph_mev_per_atom": 202,
  "sg": "P4mm (99)"
}